(1)
A geometry-optimized Ga2TeRh2 structure, computed with PBE.

Cell and atoms, written as POSCAR:
```
Ga2TeRh2
1.0
-6.278 0.123 4.231
-3.660 -3.957 -5.317
0.827 -2.511 1.300
Te Rh Ga
2 4 4
direct
0.000 0.000 0.000
0.500 0.500 0.000
0.151 0.651 0.500
0.651 0.849 0.500
0.849 0.349 0.500
0.349 0.151 0.500
0.362 0.862 0.000
0.862 0.638 0.000
0.638 0.138 0.000
0.138 0.362 0.000
```

M_tot in μB per formula unit: 0.00
DOS at the Fermi energy in states/eV per cell: 3.7
Distance to the lowest polymorph of the same formula in eV per formula unit: 0.884
Energy relative to the elements, uncorrected in meV per atom: -221

(2)
A geometry-optimized Sr2PuNpN4 structure, computed with PBE.

Cell and atoms, written as POSCAR:
```
Sr2PuNpN4
1.0
-0.756 -2.895 -1.948
3.541 2.153 -4.574
3.521 -3.508 3.847
Sr Pu Np N
2 1 1 4
direct
0.500 0.000 0.500
0.000 0.500 0.500
0.000 0.000 0.000
0.500 0.500 0.000
0.500 0.242 0.193
0.500 0.758 0.807
0.000 0.277 0.804
0.000 0.723 0.196
```

M_tot in μB per formula unit: 7.00
DOS at the Fermi energy in states/eV per cell: 12.3
Energy relative to the elements, uncorrected in meV per atom: -1058

(3)
A geometry-optimized CeNd2Th structure, computed with PBE.

Cell and atoms, written as POSCAR:
```
CeNd2Th
1.0
-4.120 -0.036 -3.997
0.856 -2.725 -4.979
-2.847 -4.852 -1.143
Nd Ce Th
2 1 1
direct
0.250 0.250 0.250
0.750 0.750 0.750
0.000 0.000 0.000
0.500 0.500 0.500
```

Calculated formation energy in meV/atom: 251
M_tot in μB per formula unit: 0.92
DOS at the Fermi energy in states/eV per cell: 13.7
Distance to the lowest polymorph of the same formula in eV per formula unit: 0.645

(4)
A geometry-optimized AlBSe2 structure, computed with PBE.

Cell and atoms, written as POSCAR:
```
AlBSe2
1.0
6.484 0.000 0.000
0.000 6.484 0.000
3.242 3.242 3.840
B Al Se
2 2 4
direct
0.500 0.500 0.000
0.250 0.750 0.500
0.000 0.000 0.000
0.750 0.250 0.500
0.521 0.125 0.250
0.229 0.625 0.250
0.375 0.479 0.750
0.875 0.771 0.750
```

M_tot in μB per formula unit: 0.00
DOS at the Fermi energy in states/eV per cell: 0.0
Distance to the lowest polymorph of the same formula in eV per formula unit: 0.000
Energy relative to the elements, uncorrected in meV per atom: 159

(5)
A geometry-optimized ZrBeNi structure, computed with PBE.

Cell and atoms, written as POSCAR:
```
ZrBeNi
1.0
3.779 0.000 0.000
1.890 4.537 -0.316
1.890 0.795 4.764
Ni Be Zr
2 2 2
direct
0.316 0.273 0.095
0.684 0.727 0.905
0.653 0.404 0.290
0.347 0.596 0.710
0.939 0.821 0.301
0.061 0.179 0.699
```

Calculated formation energy in meV/atom: -355
M_tot in μB per formula unit: 0.00
DOS at the Fermi energy in states/eV per cell: 4.4
Distance to the lowest polymorph of the same formula in eV per formula unit: 0.000

(6)
A geometry-optimized SrDy2Pb3 structure, computed with PBE.

Cell and atoms, written as POSCAR:
```
SrDy2Pb3
1.0
3.616 0.000 0.000
0.000 3.616 0.000
0.000 0.000 13.748
Sr Dy Pb
1 2 3
direct
0.500 0.500 0.500
0.500 0.500 0.839
0.500 0.500 0.161
0.000 0.000 0.000
0.000 0.000 0.680
0.000 0.000 0.320
```

Calculated formation energy in meV/atom: -459
M_tot in μB per formula unit: 0.00
DOS at the Fermi energy in states/eV per cell: 4.3

(7)
A geometry-optimized Pr2Cu3 structure, computed with PBE.

Cell and atoms, written as POSCAR:
```
Pr2Cu3
1.0
3.769 0.000 -0.620
0.000 4.361 0.000
0.258 0.000 13.329
Pr Cu
4 6
direct
0.297 0.750 0.595
0.703 0.250 0.405
0.570 0.750 0.139
0.430 0.250 0.861
0.167 0.750 0.333
0.833 0.250 0.667
0.884 0.750 0.767
0.116 0.250 0.233
0.023 0.250 0.046
0.977 0.750 0.954
```

Calculated formation energy in meV/atom: -181
M_tot in μB per formula unit: 0.00
DOS at the Fermi energy in states/eV per cell: 9.3

(8)
A geometry-optimized ErTlCdF6 structure, computed with PBE.

Cell and atoms, written as POSCAR:
```
ErTlCdF6
1.0
6.090 0.001 0.000
3.046 5.274 0.000
0.001 -0.001 5.622
Er Tl Cd F
1 1 1 6
direct
0.667 0.667 0.500
0.000 0.000 0.000
0.333 0.333 0.500
0.988 0.386 0.294
0.386 0.988 0.706
0.626 0.386 0.706
0.987 0.626 0.706
0.386 0.626 0.294
0.626 0.987 0.294
```

M_tot in μB per formula unit: 0.00
DOS at the Fermi energy in states/eV per cell: 0.0
Energy relative to the elements, uncorrected in meV per atom: -2953

(9)
A geometry-optimized KScPb2 structure, computed with PBE.

Cell and atoms, written as POSCAR:
```
KScPb2
1.0
9.252 0.133 0.039
7.370 5.595 -0.039
-8.061 -3.590 2.785
K Pb Sc
1 2 1
direct
0.312 0.812 0.500
0.984 0.984 0.000
0.674 0.174 0.500
0.529 0.529 0.000
```

Calculated formation energy in meV/atom: -91
M_tot in μB per formula unit: 0.00
DOS at the Fermi energy in states/eV per cell: 3.0
Distance to the lowest polymorph of the same formula in eV per formula unit: 0.775

(10)
A geometry-optimized Na3Nd5Cl18 structure, computed with PBE.

Cell and atoms, written as POSCAR:
```
Na3Nd5Cl18
1.0
7.653 0.000 0.000
-3.827 6.628 0.000
0.000 0.000 12.744
Na Nd Cl
3 5 18
direct
0.000 0.000 0.500
0.667 0.333 0.268
0.667 0.333 0.732
0.000 0.000 0.832
0.000 0.000 0.168
0.333 0.667 0.000
0.333 0.667 0.340
0.333 0.667 0.660
0.975 0.246 0.000
0.974 0.253 0.324
0.974 0.253 0.676
0.754 0.729 0.000
0.747 0.721 0.324
0.747 0.721 0.676
0.057 0.635 0.836
0.057 0.635 0.164
0.059 0.628 0.500
0.271 0.025 0.000
0.279 0.026 0.324
0.279 0.026 0.676
0.578 0.943 0.836
0.578 0.943 0.164
0.568 0.941 0.500
0.365 0.422 0.836
0.365 0.422 0.164
0.372 0.432 0.500
```

M_tot in μB per formula unit: 0.00
DOS at the Fermi energy in states/eV per cell: 0.0
Energy relative to the elements, uncorrected in meV per atom: -2165

(11)
A geometry-optimized RbBaIN2 structure, computed with PBE.

Cell and atoms, written as POSCAR:
```
RbBaIN2
1.0
5.261 0.000 0.000
0.000 5.261 0.000
0.000 0.000 6.555
I Ba Rb N
1 1 1 2
direct
0.000 0.000 0.500
0.500 0.500 0.500
0.000 0.000 0.000
0.000 0.500 0.000
0.500 0.000 0.000
```

M_tot in μB per formula unit: 4.00
DOS at the Fermi energy in states/eV per cell: 4.6
Distance to the lowest polymorph of the same formula in eV per formula unit: 2.306
Energy relative to the elements, uncorrected in meV per atom: 971

(12)
A geometry-optimized NbCd2BiRh structure, computed with PBE.

Cell and atoms, written as POSCAR:
```
NbCd2BiRh
1.0
-4.526 -3.049 0.309
1.643 -2.007 4.266
-2.481 3.969 2.823
Nb Rh Bi Cd
1 1 1 2
direct
0.500 0.500 0.500
0.000 0.500 0.000
0.000 0.000 0.000
0.000 0.000 0.500
0.500 0.000 0.000
```

Calculated formation energy in meV/atom: 1405
M_tot in μB per formula unit: 3.04
DOS at the Fermi energy in states/eV per cell: 4.4

(13)
A geometry-optimized V3CdGe structure, computed with PBE.

Cell and atoms, written as POSCAR:
```
V3CdGe
1.0
-2.715 2.196 -3.372
1.723 -3.042 -3.368
-3.637 -3.080 0.922
Ge Cd V
1 1 3
direct
0.500 0.500 0.500
0.000 0.000 0.000
0.000 0.500 0.000
0.000 0.000 0.500
0.500 0.000 0.000
```

Calculated formation energy in meV/atom: 1764
M_tot in μB per formula unit: 6.11
DOS at the Fermi energy in states/eV per cell: 10.5
Distance to the lowest polymorph of the same formula in eV per formula unit: 4.679

(14)
A geometry-optimized LiBe2Ni structure, computed with PBE.

Cell and atoms, written as POSCAR:
```
LiBe2Ni
1.0
-2.093 2.769 -1.427
-2.906 1.352 1.952
0.176 3.442 1.486
Be Li Ni
2 1 1
direct
0.000 0.000 0.000
0.750 0.750 0.750
0.500 0.500 0.500
0.250 0.250 0.250
```

Calculated formation energy in meV/atom: -42
M_tot in μB per formula unit: 0.00
DOS at the Fermi energy in states/eV per cell: 2.8

(15)
A geometry-optimized La6CeAl structure, computed with PBE.

Cell and atoms, written as POSCAR:
```
La6CeAl
1.0
6.069 0.390 0.917
0.000 6.532 -2.777
0.982 -0.871 7.023
La Ce Al
6 1 1
direct
0.022 0.884 0.268
0.022 0.385 0.268
0.952 0.404 0.808
0.490 0.631 0.725
0.490 0.095 0.725
0.544 0.103 0.206
0.475 0.627 0.255
0.005 0.872 0.744
```

Calculated formation energy in meV/atom: -41
M_tot in μB per formula unit: 0.51
DOS at the Fermi energy in states/eV per cell: 13.5

(16)
A geometry-optimized VTcNi2H structure, computed with PBE.

Cell and atoms, written as POSCAR:
```
VTcNi2H
1.0
-0.459 -3.110 1.679
-0.886 -1.538 -3.091
3.853 -0.918 -0.648
Ni Tc H V
2 1 1 1
direct
0.000 0.500 0.000
0.500 0.000 0.000
0.500 0.500 0.500
0.000 0.000 0.000
0.000 0.000 0.500
```

M_tot in μB per formula unit: 0.00
DOS at the Fermi energy in states/eV per cell: 5.0
Distance to the lowest polymorph of the same formula in eV per formula unit: 0.094

(17)
A geometry-optimized MgFeGeRh structure, computed with PBE.

Cell and atoms, written as POSCAR:
```
MgFeGeRh
1.0
4.233 0.000 0.000
2.117 3.666 0.000
2.117 1.222 3.456
Mg Ge Rh Fe
1 1 1 1
direct
0.750 0.750 0.750
0.250 0.250 0.250
0.500 0.500 0.500
0.000 0.000 0.000
```

Calculated formation energy in meV/atom: -239
M_tot in μB per formula unit: 0.17
DOS at the Fermi energy in states/eV per cell: 2.7

(18)
A geometry-optimized Y2MoRh structure, computed with PBE.

Cell and atoms, written as POSCAR:
```
Y2MoRh
1.0
-1.341 2.575 -1.231
-2.418 0.597 3.883
4.338 3.308 2.193
Mo Rh Y
1 1 2
direct
0.000 0.000 0.482
0.500 0.500 0.764
0.000 0.000 0.954
0.500 0.500 0.300
```

Calculated formation energy in meV/atom: 199
M_tot in μB per formula unit: 0.56
DOS at the Fermi energy in states/eV per cell: 5.2

(19)
A geometry-optimized CrMo2Ir structure, computed with PBE.

Cell and atoms, written as POSCAR:
```
CrMo2Ir
1.0
9.139 -0.035 -0.021
8.733 2.696 -0.021
8.733 1.300 2.362
Cr Ir Mo
1 1 2
direct
0.250 0.250 0.250
0.750 0.750 0.750
0.000 0.000 0.000
0.500 0.500 0.500
```

Calculated formation energy in meV/atom: 217
M_tot in μB per formula unit: 1.76
DOS at the Fermi energy in states/eV per cell: 5.2
Distance to the lowest polymorph of the same formula in eV per formula unit: 0.805

(20)
A geometry-optimized MgSc4Pt2 structure, computed with PBE.

Cell and atoms, written as POSCAR:
```
MgSc4Pt2
1.0
4.528 0.000 0.000
2.264 3.921 0.000
2.264 1.307 9.122
Mg Sc Pt
1 4 2
direct
0.000 0.000 0.000
0.397 0.397 0.808
0.201 0.201 0.398
0.799 0.799 0.602
0.603 0.603 0.192
0.099 0.099 0.703
0.901 0.901 0.297
```

Calculated formation energy in meV/atom: -650
M_tot in μB per formula unit: 0.00
DOS at the Fermi energy in states/eV per cell: 7.8

(21)
A geometry-optimized LiSi2Cl structure, computed with PBE.

Cell and atoms, written as POSCAR:
```
LiSi2Cl
1.0
-0.854 0.061 3.802
-2.408 -2.932 0.892
9.763 -7.724 3.286
Li Si Cl
2 4 2
direct
0.788 0.646 0.710
0.106 0.993 0.879
0.389 0.208 0.383
0.559 0.350 0.206
0.020 0.840 0.383
0.927 0.718 0.206
0.161 0.015 0.686
0.734 0.625 0.903
```

M_tot in μB per formula unit: 0.00
DOS at the Fermi energy in states/eV per cell: 0.9
Distance to the lowest polymorph of the same formula in eV per formula unit: 0.000
Energy relative to the elements, uncorrected in meV per atom: -672

(22)
A geometry-optimized Cs2RbReCl8 structure, computed with PBE.

Cell and atoms, written as POSCAR:
```
Cs2RbReCl8
1.0
-5.274 0.208 -2.721
2.845 -6.870 -1.923
-4.517 -4.231 8.428
Cs Rb Re Cl
2 1 1 8
direct
0.500 0.500 0.747
0.500 0.500 0.253
0.000 0.000 0.500
0.000 0.000 0.000
0.090 0.813 0.161
0.620 0.828 0.000
0.910 0.187 0.161
0.910 0.187 0.839
0.380 0.172 0.000
0.090 0.813 0.839
0.440 0.756 0.500
0.560 0.244 0.500
```

M_tot in μB per formula unit: 2.44
DOS at the Fermi energy in states/eV per cell: 11.0
Energy relative to the elements, uncorrected in meV per atom: -1252

(23)
A geometry-optimized PuSc2CuO8 structure, computed with PBE.

Cell and atoms, written as POSCAR:
```
PuSc2CuO8
1.0
-1.045 -2.931 -3.667
1.792 -3.482 2.791
-5.598 -1.099 3.262
Pu Sc Cu O
1 2 1 8
direct
0.000 0.000 0.000
0.466 0.534 0.728
0.534 0.466 0.272
0.000 0.000 0.500
0.215 0.784 0.197
0.695 0.696 0.000
0.829 0.171 0.262
0.785 0.216 0.803
0.305 0.304 0.000
0.171 0.829 0.738
0.707 0.708 0.500
0.293 0.292 0.500
```

M_tot in μB per formula unit: 0.98
DOS at the Fermi energy in states/eV per cell: 4.6
Energy relative to the elements, uncorrected in meV per atom: -2349

(24)
A geometry-optimized Ag4As structure, computed with PBE.

Cell and atoms, written as POSCAR:
```
Ag4As
1.0
4.925 0.000 0.000
0.000 4.925 0.000
0.000 0.000 4.925
As Ag
1 4
direct
0.500 0.500 0.500
0.000 0.000 0.000
0.500 0.000 0.500
0.000 0.500 0.500
0.500 0.500 0.000
```

Calculated formation energy in meV/atom: 410
M_tot in μB per formula unit: 0.00
DOS at the Fermi energy in states/eV per cell: 2.0
Distance to the lowest polymorph of the same formula in eV per formula unit: 1.600

(25)
A geometry-optimized LiLaAl structure, computed with PBE.

Cell and atoms, written as POSCAR:
```
LiLaAl
1.0
6.551 -0.055 0.059
5.687 3.253 0.058
0.864 0.227 3.300
Al La Li
1 1 1
direct
0.023 0.023 0.977
0.342 0.342 0.658
0.635 0.635 0.365
```

Calculated formation energy in meV/atom: -91
M_tot in μB per formula unit: 0.53
DOS at the Fermi energy in states/eV per cell: 3.5
Distance to the lowest polymorph of the same formula in eV per formula unit: 0.434

(26)
A geometry-optimized CePaAu2 structure, computed with PBE.

Cell and atoms, written as POSCAR:
```
CePaAu2
1.0
5.155 0.000 0.000
2.577 4.464 0.000
2.577 1.488 4.209
Pa Au Ce
1 2 1
direct
0.000 0.000 0.000
0.250 0.250 0.250
0.750 0.750 0.750
0.500 0.500 0.500
```

Calculated formation energy in meV/atom: -340
M_tot in μB per formula unit: 2.33
DOS at the Fermi energy in states/eV per cell: 10.6
Distance to the lowest polymorph of the same formula in eV per formula unit: 0.288